Record 1
PBE Pm2GaNi2, relaxed; theoretical density = 7.85 g/cm³; relative energy among the computed polymorphs = 0.042 eV per atom; crystal system = tetragonal; calculated formation energy = -218 kJ/mol of formula units
1.0
7.276 0.000 0.000
0.000 7.276 0.000
0.000 0.000 7.621
Ni Ga Pm
8 4 8
Direct
0.119 0.381 0.750
0.619 0.119 0.750
0.119 0.381 0.250
0.619 0.119 0.250
0.881 0.619 0.250
0.381 0.881 0.750
0.881 0.619 0.750
0.381 0.881 0.250
0.500 0.500 0.750
0.000 0.000 0.750
0.000 0.000 0.250
0.500 0.500 0.250
0.182 0.682 0.000
0.182 0.682 0.500
0.318 0.182 0.500
0.682 0.818 0.000
0.818 0.318 0.500
0.318 0.182 0.000
0.818 0.318 0.000
0.682 0.818 0.500

***

Record 2
PBE NaCaAgF4, relaxed; theoretical density = 3.49 g/cm³; crystal system = orthorhombic; ΔE_f (raw) = -2.7059 eV per atom
1.0
-2.171 5.043 3.842
1.619 -6.041 3.000
5.075 4.247 -2.708
Ca F Na Ag
2 8 2 2
Direct
0.500 0.000 0.000
0.500 0.000 0.500
0.709 0.987 0.744
0.728 0.456 0.699
0.722 0.013 0.256
0.278 0.987 0.744
0.291 0.013 0.256
0.728 0.456 0.257
0.272 0.544 0.301
0.272 0.544 0.743
0.500 0.500 0.500
0.000 0.500 0.500
0.851 0.701 0.101
0.149 0.299 0.899

***

Record 3
PBE KPt3Pb, relaxed; theoretical density = 9.85 g/cm³; relative energy among the computed polymorphs = 0.000 eV per atom; crystal system = cubic; calculated formation energy = 316 kJ/mol of formula units
1.0
5.195 0.000 0.000
0.000 5.195 0.000
0.000 0.000 5.195
K Pt Pb
1 3 1
Direct
0.500 0.500 0.500
0.000 0.000 0.500
0.500 0.000 0.000
0.000 0.500 0.000
0.000 0.000 0.000